The following is a GGA+U calculation of a relaxed Mn2CoO6 crystal, from Alexandria.

Volume ... 12.20 A^3/atom
E above lowest polymorph ... 0.002 eV/atom
Total magnetic moment ... 0.776 μB/atom

Cell lengths 5.024, 5.024, 10.049 Å; angles 90.00, 90.00, 59.94 degrees
Sites, in units of the cell vectors:
Mn  0.167  0.167  0.000
Mn  0.333  0.333  0.500
Mn  0.667  0.667  0.500
Mn  0.833  0.833  0.000
Co  0.000  0.000  0.500
Co  0.500  0.500  0.000
O  0.000  0.328  0.405
O  0.000  0.672  0.595
O  0.172  0.500  0.095
O  0.172  0.828  0.905
O  0.328  0.000  0.595
O  0.328  0.672  0.405
O  0.500  0.172  0.905
O  0.500  0.828  0.095
O  0.672  0.000  0.405
O  0.672  0.328  0.595
O  0.828  0.172  0.095
O  0.828  0.500  0.905